The following is a DFT calculation (PBEsol) of ScTaCr2 after structural relaxation.

Structure (CIF):
```
data_ScTaCr2
_symmetry_space_group_name_H-M 'P 1 2/m 1'
_symmetry_Int_Tables_number 10
_symmetry_space_group_name_Hall '-P 2y'
_cell_length_a 2.826
_cell_length_b 4.202
_cell_length_c 5.461
_cell_angle_alpha 90.00
_cell_angle_beta 99.15
_cell_angle_gamma 90.00
loop_
_atom_site_label
_atom_site_type_symbol
_atom_site_fract_x
_atom_site_fract_y
_atom_site_fract_z
Sc1 Sc 0.000 0.000 0.000
Ta1 Ta 0.500 0.000 0.500
Cr1 Cr 0.189 0.500 0.687
```

Values from the calculation:
Calculated volume = 16.0 Å³/atom
Calculated total energy = -9.54 eV/atom
DFT formation energy = 36 kJ per mole of atoms
Magnetic moment = 0.00 Bohr magnetons per cell



The following is a DFT calculation (PBEsol) of ScTaCr4 after structural relaxation.

Structure (CIF):
```
data_ScTaCr4
_symmetry_space_group_name_H-M 'F -4 3 m'
_symmetry_Int_Tables_number 216
_symmetry_space_group_name_Hall 'F -4 2 3'
_cell_length_a 6.907
_cell_length_b 6.907
_cell_length_c 6.907
_cell_angle_alpha 90.00
_cell_angle_beta 90.00
_cell_angle_gamma 90.00
loop_
_atom_site_label
_atom_site_type_symbol
_atom_site_fract_x
_atom_site_fract_y
_atom_site_fract_z
Sc1 Sc 0.000 0.000 0.000
Ta1 Ta 0.250 0.250 0.750
Cr1 Cr 0.125 0.125 0.375
```

Values from the calculation:
Calculated volume = 13.7 Å³/atom
Calculated total energy = -10.05 eV/atom
DFT formation energy = -3 kJ per mole of atoms
Magnetic moment = 0.00 Bohr magnetons per cell



The following is a DFT calculation (PBEsol) of ScTaCr2 after structural relaxation.

Structure (CIF):
```
data_ScTaCr2
_symmetry_space_group_name_H-M 'P m m m'
_symmetry_Int_Tables_number 47
_symmetry_space_group_name_Hall '-P 2 2'
_cell_length_a 3.143
_cell_length_b 4.231
_cell_length_c 4.600
_cell_angle_alpha 90.00
_cell_angle_beta 90.00
_cell_angle_gamma 90.00
loop_
_atom_site_label
_atom_site_type_symbol
_atom_site_fract_x
_atom_site_fract_y
_atom_site_fract_z
Sc1 Sc 0.000 0.000 0.000
Ta1 Ta 0.500 0.000 0.500
Cr1 Cr 0.000 0.500 0.500
Cr2 Cr 0.500 0.500 0.000
```

Values from the calculation:
Calculated volume = 15.3 Å³/atom
Calculated total energy = -9.47 eV/atom
DFT formation energy = 43 kJ per mole of atoms
Magnetic moment = 1.38 Bohr magnetons per cell



The following is a DFT calculation (PBEsol) of ScTa2Cr after structural relaxation.

Structure (CIF):
```
data_ScTa2Cr
_symmetry_space_group_name_H-M 'P 4/m m m'
_symmetry_Int_Tables_number 123
_symmetry_space_group_name_Hall '-P 4 2'
_cell_length_a 3.095
_cell_length_b 3.095
_cell_length_c 7.100
_cell_angle_alpha 90.00
_cell_angle_beta 90.00
_cell_angle_gamma 90.00
loop_
_atom_site_label
_atom_site_type_symbol
_atom_site_fract_x
_atom_site_fract_y
_atom_site_fract_z
Sc1 Sc 0.000 0.000 0.000
Ta1 Ta 0.500 0.500 0.295
Cr1 Cr 0.000 0.000 0.500
```

Values from the calculation:
Calculated volume = 17.0 Å³/atom
Calculated total energy = -10.30 eV/atom
DFT formation energy = 18 kJ per mole of atoms
Magnetic moment = 0.00 Bohr magnetons per cell



The following is a DFT calculation (PBEsol) of ScCrTc after structural relaxation.

Structure (CIF):
```
data_ScCrTc
_symmetry_space_group_name_H-M 'P 3 m 1'
_symmetry_Int_Tables_number 156
_symmetry_space_group_name_Hall 'P 3 -2"'
_cell_length_a 2.8851
_cell_length_b 2.8851
_cell_length_c 6.2982
_cell_angle_alpha 90.00
_cell_angle_beta 90.00
_cell_angle_gamma 120.00
loop_
_atom_site_label
_atom_site_type_symbol
_atom_site_fract_x
_atom_site_fract_y
_atom_site_fract_z
Sc1 Sc 0.0000 0.0000 0.0000
Cr1 Cr 0.6667 0.3333 0.3524
Tc1 Tc 0.3333 0.6667 0.6296
```

Values from the calculation:
Calculated volume = 15.1 Å³/atom
Calculated total energy = -9.06 eV/atom
DFT formation energy = 30 kJ per mole of atoms
Magnetic moment = 0.00 Bohr magnetons per cell



The following is a DFT calculation (PBEsol) of ScCrTc2 after structural relaxation.

Structure (CIF):
```
data_ScCrTc2
_symmetry_space_group_name_H-M 'R -3 m'
_symmetry_Int_Tables_number 166
_symmetry_space_group_name_Hall '-R 3 2"'
_cell_length_a 2.8495
_cell_length_b 2.8495
_cell_length_c 25.1174
_cell_angle_alpha 90.00
_cell_angle_beta 90.00
_cell_angle_gamma 120.00
loop_
_atom_site_label
_atom_site_type_symbol
_atom_site_fract_x
_atom_site_fract_y
_atom_site_fract_z
Sc1 Sc 0.0000 0.0000 0.0000
Cr1 Cr 0.0000 0.0000 0.5000
Tc1 Tc 0.0000 0.0000 0.2413
```

Values from the calculation:
Calculated volume = 14.7 Å³/atom
Calculated total energy = -9.60 eV/atom
DFT formation energy = 23 kJ per mole of atoms
Magnetic moment = 0.00 Bohr magnetons per cell



The following is a DFT calculation (PBEsol) of ScCrTc2 after structural relaxation.

Structure (CIF):
```
data_ScCrTc2
_symmetry_space_group_name_H-M 'P m m 2'
_symmetry_Int_Tables_number 25
_symmetry_space_group_name_Hall 'P 2 -2'
_cell_length_a 2.773
_cell_length_b 4.207
_cell_length_c 5.043
_cell_angle_alpha 90.00
_cell_angle_beta 90.00
_cell_angle_gamma 90.00
loop_
_atom_site_label
_atom_site_type_symbol
_atom_site_fract_x
_atom_site_fract_y
_atom_site_fract_z
Sc1 Sc 0.000 0.000 0.000
Cr1 Cr 0.500 0.500 0.735
Tc1 Tc 0.000 0.000 0.505
Tc2 Tc 0.500 0.500 0.275
```

Values from the calculation:
Calculated volume = 14.7 Å³/atom
Calculated total energy = -9.56 eV/atom
DFT formation energy = 28 kJ per mole of atoms
Magnetic moment = 0.00 Bohr magnetons per cell



The following is a DFT calculation (PBEsol) of ScCrTc2 after structural relaxation.

Structure (CIF):
```
data_ScCrTc2
_symmetry_space_group_name_H-M 'C m m m'
_symmetry_Int_Tables_number 65
_symmetry_space_group_name_Hall '-C 2 2'
_cell_length_a 3.059
_cell_length_b 4.459
_cell_length_c 8.462
_cell_angle_alpha 90.00
_cell_angle_beta 90.00
_cell_angle_gamma 90.00
loop_
_atom_site_label
_atom_site_type_symbol
_atom_site_fract_x
_atom_site_fract_y
_atom_site_fract_z
Sc1 Sc 0.000 0.000 0.000
Cr1 Cr 0.000 0.000 0.500
Tc1 Tc 0.000 0.500 0.273
```

Values from the calculation:
Calculated volume = 14.4 Å³/atom
Calculated total energy = -9.74 eV/atom
DFT formation energy = 10 kJ per mole of atoms
Magnetic moment = 0.00 Bohr magnetons per cell